Entry 1:
{"formula": "CaLa2Cd", "functional": "PBEsol", "state": "optimized geometry", "cell": [[6.2277, -1.9596, 0.0000], [6.2277, 1.9596, 0.0000], [-2.3770, 0.0000, 5.1554]], "species": ["Ca", "La", "La", "Cd"], "frac_coords": [[0.0000, 0.0000, 0.0000], [0.5482, 0.5482, 0.5441], [0.7805, 0.7805, 0.3092], [0.2816, 0.2816, 0.8139]], "dos_at_fermi_per_ev_cell": 4.50, "total_magnetization_mub_per_cell": 0.0, "delta_e_f_ev_per_atom": -0.10}

Entry 2:
{"formula": "CdAgSb", "functional": "PBEsol", "state": "optimized geometry", "cell": [[4.4771, 0.0000, 0.0000], [-2.2385, 3.8773, 0.0000], [0.0000, 0.0000, 3.9256]], "species": ["Cd", "Ag", "Sb"], "frac_coords": [[0.0000, 0.0000, 0.0000], [0.6667, 0.3333, 0.2874], [0.3333, 0.6667, 0.5723]], "dos_at_fermi_per_ev_cell": 1.29, "total_magnetization_mub_per_cell": 0.0, "formation_energy_uncorrected_kcal_per_mol_atoms": 3.4}

Entry 3:
{"formula": "Li3Al", "functional": "PBEsol", "state": "optimized geometry", "cell": [[2.0585, -2.0665, 0.0000], [2.0585, 2.0665, 0.0000], [0.0000, 0.0000, 8.0728]], "species": ["Li", "Li", "Li", "Al"], "frac_coords": [[0.0000, 0.0000, 0.0000], [0.5000, 0.5000, 0.2692], [0.5000, 0.5000, 0.7308], [0.0000, 0.0000, 0.5000]], "dos_at_fermi_per_ev_cell": 1.95, "total_magnetization_mub_per_cell": 0.0, "delta_e_f_ev_per_atom": -0.07}

Entry 4:
{"formula": "NaTbS2", "functional": "PBEsol", "state": "optimized geometry", "cell": [[1.9753, 1.1405, 6.5878], [-1.9753, 1.1405, 6.5878], [0.0000, -2.2809, 6.5878]], "species": ["Na", "Tb", "S", "S"], "frac_coords": [[0.0000, 0.0000, 0.0000], [0.5000, 0.5000, 0.5000], [0.2429, 0.2429, 0.2429], [0.7571, 0.7571, 0.7571]], "dos_at_fermi_per_ev_cell": 0.00, "total_magnetization_mub_per_cell": 0.0, "formation_energy_uncorrected_kcal_per_mol_atoms": -43.0}

Entry 5:
{"formula": "Tl3SbPd", "functional": "PBEsol", "state": "optimized geometry", "cell": [[5.2373, 0.0000, 0.0000], [0.0000, 5.2373, 0.0000], [0.0000, 0.0000, 5.2373]], "species": ["Tl", "Tl", "Tl", "Sb", "Pd"], "frac_coords": [[0.0000, 0.0000, 0.5000], [0.0000, 0.5000, 0.0000], [0.5000, 0.0000, 0.0000], [0.5000, 0.5000, 0.5000], [0.0000, 0.0000, 0.0000]], "dos_at_fermi_per_ev_cell": 4.75, "total_magnetization_mub_per_cell": 0.0, "formation_energy_uncorrected_kcal_per_mol_atoms": 2.9}

Entry 6:
{"formula": "ScCo", "functional": "PBEsol", "state": "optimized geometry", "cell": [[3.0702, 0.0000, 0.0000], [0.0000, 3.0702, 0.0000], [0.0000, 0.0000, 3.0702]], "species": ["Sc", "Co"], "frac_coords": [[0.0000, 0.0000, 0.0000], [0.5000, 0.5000, 0.5000]], "dos_at_fermi_per_ev_cell": 0.88, "total_magnetization_mub_per_cell": 0.0, "delta_e_f_ev_per_atom": -0.36}

Entry 7:
{"formula": "BeCuRu2", "functional": "PBEsol", "state": "optimized geometry", "cell": [[-1.4256, 2.0185, 3.9746], [1.4256, -2.0185, 3.9746], [1.4256, 2.0185, -3.9746]], "species": ["Be", "Cu", "Ru", "Ru"], "frac_coords": [[0.0000, 0.0000, 0.0000], [0.2166, 0.7166, 0.5000], [0.4899, 0.4899, 0.0000], [0.7601, 0.2601, 0.5000]], "dos_at_fermi_per_ev_cell": 2.52, "total_magnetization_mub_per_cell": 0.0, "delta_e_f_ev_per_atom": 0.04}

Entry 8:
{"formula": "K2TeH6SeO10", "functional": "PBEsol", "state": "optimized geometry", "cell": [[5.7476, -3.2292, 0.0000], [5.7476, 3.2292, 0.0000], [-3.8623, 0.0000, 13.2173]], "species": ["K", "K", "K", "K", "Te", "Te", "H", "H", "H", "H", "H", "H", "H", "H", "H", "H", "H", "H", "Se", "Se", "O", "O", "O", "O", "O", "O", "O", "O", "O", "O", "O", "O", "O", "O", "O", "O", "O", "O", "O", "O"], "frac_coords": [[0.1938, 0.8062, 0.5000], [0.5026, 0.8935, 0.2327], [0.8062, 0.1938, 0.0000], [0.8935, 0.5026, 0.7327], [0.3499, 0.8484, 0.8662], [0.8484, 0.3499, 0.3662], [0.2422, 0.2740, 0.9377], [0.2740, 0.2422, 0.4377], [0.3108, 0.6990, 0.0042], [0.3894, 0.9977, 0.7282], [0.4225, 0.4578, 0.2949], [0.4578, 0.4225, 0.7949], [0.6990, 0.3108, 0.5042], [0.7313, 0.7521, 0.9784], [0.7521, 0.7313, 0.4784], [0.9441, 0.9687, 0.2537], [0.9687, 0.9441, 0.7537], [0.9977, 0.3894, 0.2282], [0.1350, 0.5632, 0.1161], [0.5632, 0.1350, 0.6161], [0.0569, 0.8354, 0.8089], [0.1067, 0.8310, 0.1668], [0.1645, 0.1952, 0.8810], [0.1952, 0.1645, 0.3810], [0.2472, 0.3814, 0.2044], [0.2959, 0.8570, 0.0002], [0.3184, 0.4500, 0.0285], [0.3814, 0.2472, 0.7044], [0.4036, 0.8399, 0.7321], [0.4500, 0.3184, 0.5285], [0.5016, 0.5354, 0.3515], [0.5354, 0.5016, 0.8515], [0.5894, 0.8683, 0.5649], [0.6429, 0.8613, 0.9233], [0.8310, 0.1067, 0.6668], [0.8354, 0.0569, 0.3089], [0.8399, 0.4036, 0.2321], [0.8570, 0.2959, 0.5002], [0.8613, 0.6429, 0.4233], [0.8683, 0.5894, 0.0649]], "dos_at_fermi_per_ev_cell": 0.00, "dft_energy_ev_per_atom": -5.2727, "total_magnetization_mub_per_cell": 0.0}

Entry 9:
{"formula": "Nd3CuSiSe7", "functional": "PBEsol", "state": "optimized geometry", "cell": [[10.4725, 0.0000, 0.0000], [-5.2362, 9.0694, 0.0000], [0.0000, 0.0000, 5.9737]], "species": ["Nd", "Nd", "Nd", "Nd", "Nd", "Nd", "Cu", "Cu", "Si", "Si", "Se", "Se", "Se", "Se", "Se", "Se", "Se", "Se", "Se", "Se", "Se", "Se", "Se", "Se"], "frac_coords": [[0.1279, 0.7722, 0.0000], [0.2278, 0.3557, 0.0000], [0.3557, 0.1279, 0.5000], [0.6443, 0.8721, 0.0000], [0.7722, 0.6443, 0.5000], [0.8721, 0.2278, 0.5000], [0.0000, 0.0000, 0.0246], [0.0000, 0.0000, 0.5246], [0.3333, 0.6667, 0.4142], [0.6667, 0.3333, 0.9142], [0.0921, 0.8355, 0.5130], [0.1031, 0.5207, 0.2644], [0.1645, 0.2565, 0.5130], [0.2565, 0.0921, 0.0130], [0.3333, 0.6667, 0.7914], [0.4175, 0.8969, 0.2644], [0.4793, 0.5825, 0.2644], [0.5207, 0.4175, 0.7644], [0.5825, 0.1031, 0.7644], [0.6667, 0.3333, 0.2914], [0.7435, 0.9079, 0.5130], [0.8355, 0.7435, 0.0130], [0.8969, 0.4793, 0.7644], [0.9079, 0.1645, 0.0130]], "total_magnetization_mub_per_cell": 0.0, "formation_energy_uncorrected_kcal_per_mol_atoms": -31.8}

Entry 10:
{"formula": "AsRhSe2F", "functional": "PBEsol", "state": "optimized geometry", "cell": [[4.6691, 0.0000, 0.0000], [0.0000, 4.6691, 0.0000], [0.0000, 0.0000, 4.0185]], "species": ["As", "Rh", "Se", "Se", "F"], "frac_coords": [[0.0000, 0.0000, 0.0000], [0.5000, 0.5000, 0.0000], [0.0000, 0.5000, 0.5000], [0.5000, 0.0000, 0.5000], [0.0000, 0.0000, 0.5000]], "dos_at_fermi_per_ev_cell": 5.38, "total_magnetization_mub_per_cell": 0.0, "formation_energy_uncorrected_kcal_per_mol_atoms": 13.5}

Entry 11:
{"formula": "AlTl2Ir", "functional": "PBEsol", "state": "optimized geometry", "cell": [[-1.4835, 2.0387, 7.3611], [1.4835, -2.0387, 7.3611], [1.4835, 2.0387, -7.3611]], "species": ["Al", "Tl", "Tl", "Ir"], "frac_coords": [[0.0000, 0.0000, 0.0000], [0.3262, 0.8262, 0.5000], [0.6738, 0.1738, 0.5000], [0.5000, 0.5000, 0.0000]], "dos_at_fermi_per_ev_cell": 1.47, "relative_energy_mev_per_atom": 0, "total_magnetization_mub_per_cell": 0.0, "delta_e_f_ev_per_atom": -0.04}

Entry 12:
{"formula": "Ni3OsPt", "functional": "PBEsol", "state": "optimized geometry", "cell": [[4.4109, 0.0000, 0.0000], [0.0000, 4.4109, 0.0000], [0.0000, 0.0000, 4.4109]], "species": ["Ni", "Ni", "Ni", "Os", "Pt"], "frac_coords": [[0.0000, 0.0000, 0.5000], [0.0000, 0.5000, 0.0000], [0.5000, 0.0000, 0.0000], [0.5000, 0.5000, 0.5000], [0.0000, 0.0000, 0.0000]], "dos_at_fermi_per_ev_cell": 8.99, "total_magnetization_mub_per_cell": 5.4, "delta_e_f_ev_per_atom": 2.02}

Entry 13:
{"formula": "RbNbSbI2", "functional": "PBEsol", "state": "optimized geometry", "cell": [[6.2156, 0.0000, 0.0000], [0.0000, 6.2156, 0.0000], [0.0000, 0.0000, 6.0280]], "species": ["Rb", "Nb", "Sb", "I", "I"], "frac_coords": [[0.0000, 0.0000, 0.0000], [0.5000, 0.5000, 0.5000], [0.0000, 0.0000, 0.5000], [0.0000, 0.5000, 0.0000], [0.5000, 0.0000, 0.0000]], "dos_at_fermi_per_ev_cell": 10.03, "total_magnetization_mub_per_cell": 1.9, "formation_energy_uncorrected_kcal_per_mol_atoms": 32.4}

Entry 14:
{"formula": "KTa2Re", "functional": "PBEsol", "state": "optimized geometry", "cell": [[4.7699, 0.0000, 0.0000], [0.0000, 4.7699, 0.0000], [0.0000, 0.0000, 3.1550]], "species": ["K", "Ta", "Ta", "Re"], "frac_coords": [[0.0000, 0.0000, 0.0000], [0.0000, 0.5000, 0.5000], [0.5000, 0.0000, 0.5000], [0.5000, 0.5000, 0.0000]], "dos_at_fermi_per_ev_cell": 3.38, "relative_energy_mev_per_atom": 674, "total_magnetization_mub_per_cell": 0.0, "delta_e_f_ev_per_atom": 1.44}

Entry 15:
{"formula": "KHg3Pd", "functional": "PBEsol", "state": "optimized geometry", "cell": [[5.2334, 0.0000, 0.0000], [0.0000, 5.2334, 0.0000], [0.0000, 0.0000, 5.2334]], "species": ["K", "Hg", "Hg", "Hg", "Pd"], "frac_coords": [[0.0000, 0.0000, 0.0000], [0.0000, 0.5000, 0.5000], [0.5000, 0.0000, 0.5000], [0.5000, 0.5000, 0.0000], [0.5000, 0.5000, 0.5000]], "dos_at_fermi_per_ev_cell": 1.96, "total_magnetization_mub_per_cell": 0.0, "delta_e_f_ev_per_atom": -0.21}

Entry 16:
{"formula": "Tl2AgIr2", "functional": "PBEsol", "state": "optimized geometry", "cell": [[-1.7736, 1.7736, 8.3656], [1.7736, -1.7736, 8.3656], [1.7736, 1.7736, -8.3656]], "species": ["Tl", "Tl", "Ag", "Ir", "Ir"], "frac_coords": [[0.1072, 0.1072, 0.0000], [0.8928, 0.8928, 0.0000], [0.5000, 0.5000, 0.0000], [0.2500, 0.7500, 0.5000], [0.7500, 0.2500, 0.5000]], "dos_at_fermi_per_ev_cell": 4.13, "total_magnetization_mub_per_cell": 0.0, "delta_e_f_ev_per_atom": 0.58}

Entry 17:
{"formula": "YTc2Pb", "functional": "PBEsol", "state": "optimized geometry", "cell": [[3.1046, 0.0000, 0.0000], [0.0000, 3.1046, 0.0000], [0.0000, 0.0000, 8.1161]], "species": ["Y", "Tc", "Tc", "Pb"], "frac_coords": [[0.0000, 0.0000, 0.0000], [0.0000, 0.0000, 0.5850], [0.5000, 0.5000, 0.7527], [0.5000, 0.5000, 0.3318]], "dos_at_fermi_per_ev_cell": 2.51, "total_magnetization_mub_per_cell": 0.0, "delta_e_f_ev_per_atom": 0.03}

Entry 18:
{"formula": "CsAuCl3", "functional": "PBEsol", "state": "optimized geometry", "cell": [[5.0738, 0.0000, 0.0000], [0.0000, 5.0738, 0.0000], [0.0000, 0.0000, 5.0738]], "species": ["Cs", "Au", "Cl", "Cl", "Cl"], "frac_coords": [[0.0000, 0.0000, 0.0000], [0.5000, 0.5000, 0.5000], [0.0000, 0.5000, 0.5000], [0.5000, 0.0000, 0.5000], [0.5000, 0.5000, 0.0000]], "dos_at_fermi_per_ev_cell": 1.01, "total_magnetization_mub_per_cell": 0.0, "formation_energy_uncorrected_kcal_per_mol_atoms": -23.1}

Entry 19:
{"formula": "Mn2CuSb2Pd", "functional": "PBEsol", "state": "optimized geometry", "cell": [[2.1381, 1.2344, 7.0414], [-2.1381, 1.2344, 7.0414], [0.0000, -2.4689, 7.0414]], "species": ["Mn", "Mn", "Cu", "Sb", "Sb", "Pd"], "frac_coords": [[0.0000, 0.0000, 0.0000], [0.4979, 0.4979, 0.4979], [0.3746, 0.3746, 0.3746], [0.2523, 0.2523, 0.2523], [0.7482, 0.7482, 0.7482], [0.8743, 0.8743, 0.8743]], "dos_at_fermi_per_ev_cell": 2.23, "total_magnetization_mub_per_cell": 8.7, "formation_energy_uncorrected_kcal_per_mol_atoms": -0.1}

Entry 20:
{"formula": "RbAgCl3", "functional": "PBEsol", "state": "optimized geometry", "cell": [[5.0196, 0.0000, 0.0000], [0.0000, 5.0196, 0.0000], [0.0000, 0.0000, 5.0196]], "species": ["Rb", "Ag", "Cl", "Cl", "Cl"], "frac_coords": [[0.0000, 0.0000, 0.0000], [0.5000, 0.5000, 0.5000], [0.0000, 0.5000, 0.5000], [0.5000, 0.0000, 0.5000], [0.5000, 0.5000, 0.0000]], "dos_at_fermi_per_ev_cell": 1.20, "total_magnetization_mub_per_cell": 0.0, "formation_energy_uncorrected_kcal_per_mol_atoms": -24.7}